(1)
The following is a PBE calculation of an optimized crystal structure of MnBeCoTc, from Alexandria.

The structure in POSCAR format:
```
MnBeCoTc
1.0
3.996 0.000 0.000
1.998 3.461 0.000
1.998 1.154 3.263
Be Mn Co Tc
1 1 1 1
direct
0.000 0.000 0.000
0.500 0.500 0.500
0.250 0.250 0.250
0.750 0.750 0.750
```

Computed properties:
ΔH_f (0 K)	-60	meV per atom
DFT total energy	-7.652	eV/atom
total moment	2.8	μB/cell
V	45	Å³/cell
space group	No. 216

---

(2)
The following is a PBE calculation of an optimized crystal structure of Th2MnBe3Co12, from Alexandria.

The structure in POSCAR format:
```
Th2MnBe3Co12
1.0
-4.207 -3.791 8.156
0.511 -1.644 9.779
-3.815 1.555 9.034
Th Mn Be Co
2 1 3 12
direct
0.641 0.641 0.641
0.359 0.359 0.359
0.000 0.000 0.000
0.500 0.000 0.000
0.000 0.500 0.000
0.000 0.000 0.500
0.400 0.400 0.828
0.910 0.910 0.386
0.386 0.910 0.910
0.828 0.400 0.400
0.910 0.386 0.910
0.400 0.828 0.400
0.600 0.600 0.172
0.090 0.090 0.614
0.614 0.090 0.090
0.172 0.600 0.600
0.090 0.614 0.090
0.600 0.172 0.600
```

Computed properties:
ΔH_f (0 K)	235	meV per atom
DFT total energy	-6.457	eV/atom
total moment	15.3	μB/cell
V	241	Å³/cell
space group	No. 166

---

(3)
The following is a PBE calculation of an optimized crystal structure of MnBeVCo, from Alexandria.

The structure in POSCAR format:
```
MnBeVCo
1.0
-3.280 2.116 0.146
-2.979 -0.848 -2.380
-3.272 -1.567 1.449
Be Mn Co V
1 1 1 1
direct
0.000 0.000 0.000
0.750 0.750 0.750
0.250 0.250 0.250
0.500 0.500 0.500
```

Computed properties:
ΔH_f (0 K)	-199	meV per atom
DFT total energy	-7.479	eV/atom
total moment	0.9	μB/cell
V	42	Å³/cell
space group	No. 216

---

(4)
The following is a PBE calculation of an optimized crystal structure of MnBeVCo, from Alexandria.

The structure in POSCAR format:
```
MnBeVCo
1.0
2.824 0.000 0.000
0.000 2.824 0.000
0.000 0.000 5.275
Mn Be V Co
1 1 1 1
direct
0.000 0.000 0.370
0.500 0.500 0.608
0.500 0.500 0.115
0.000 0.000 0.835
```

Computed properties:
ΔH_f (0 K)	-193	meV per atom
DFT total energy	-7.474	eV/atom
total moment	0.6	μB/cell
V	42	Å³/cell
space group	No. 99

---

(5)
The following is a PBE calculation of an optimized crystal structure of MnBe2Co5W2, from Alexandria.

The structure in POSCAR format:
```
MnBe2Co5W2
1.0
2.930 0.000 0.000
0.000 8.681 0.000
0.000 0.000 8.681
Mn Be Co W
2 4 10 4
direct
0.000 0.000 0.000
0.000 0.500 0.500
0.000 0.120 0.620
0.000 0.880 0.380
0.000 0.620 0.880
0.000 0.380 0.120
0.500 0.211 0.064
0.500 0.789 0.936
0.500 0.064 0.789
0.500 0.711 0.436
0.500 0.936 0.211
0.500 0.289 0.564
0.500 0.564 0.711
0.500 0.436 0.289
0.500 0.500 0.000
0.500 0.000 0.500
0.000 0.677 0.177
0.000 0.323 0.823
0.000 0.177 0.323
0.000 0.823 0.677
```

Computed properties:
ΔH_f (0 K)	-68	meV per atom
DFT total energy	-7.873	eV/atom
total moment	13.5	μB/cell
V	221	Å³/cell
space group	No. 127

---

(6)
The following is a PBE calculation of an optimized crystal structure of YMnBe2Co, from Alexandria.

The structure in POSCAR format:
```
YMnBe2Co
1.0
4.634 0.000 0.000
0.000 4.410 0.000
0.000 0.000 4.634
Y Be Mn Co
1 2 1 1
direct
0.000 0.000 0.000
0.000 0.000 0.500
0.500 0.000 0.000
0.500 0.500 0.500
0.000 0.500 0.000
```

Computed properties:
ΔH_f (0 K)	2351	meV per atom
DFT total energy	-3.687	eV/atom
total moment	0.5	μB/cell
V	95	Å³/cell
space group	No. 123

---

(7)
The following is a PBE calculation of an optimized crystal structure of Y2MnBeCo, from Alexandria.

The structure in POSCAR format:
```
Y2MnBeCo
1.0
5.104 0.000 0.000
0.000 4.428 0.000
0.000 0.000 5.104
Y Be Mn Co
2 1 1 1
direct
0.000 0.000 0.500
0.500 0.000 0.000
0.500 0.500 0.500
0.000 0.500 0.000
0.000 0.000 0.000
```

Computed properties:
ΔH_f (0 K)	479	meV per atom
DFT total energy	-6.107	eV/atom
total moment	3.6	μB/cell
V	115	Å³/cell
space group	No. 123

---

(8)
The following is a PBE calculation of an optimized crystal structure of ZrMn2BeCo, from Alexandria.

The structure in POSCAR format:
```
ZrMn2BeCo
1.0
-0.112 2.678 -3.128
-0.130 -2.987 -2.552
-4.116 0.030 0.174
Be Mn Co Zr
1 2 1 1
direct
0.000 0.000 0.000
0.000 0.000 0.500
0.500 0.000 0.000
0.000 0.500 0.000
0.500 0.500 0.500
```

Computed properties:
ΔH_f (0 K)	175	meV per atom
DFT total energy	-7.368	eV/atom
total moment	5.0	μB/cell
V	67	Å³/cell
space group	No. 123